Record 1
Tb4Ga2Ge | GGA-PBE | relaxed

Lattice parameters (Å, degrees): 7.7208 7.7208 8.8890 125.08 125.08 70.28
Sites, in units of the cell vectors:
Tb: 0.0718 0.0718 0.2529
Tb: 0.2919 0.5641 0.6094
Tb: 0.4350 0.2085 0.8900
Tb: 0.4359 0.7081 0.3906
Tb: 0.5728 0.0712 0.2540
Tb: 0.7915 0.5650 0.1100
Tb: 0.9282 0.9282 0.7471
Tb: 0.9288 0.4272 0.7460
Ga: 0.0628 0.9372 0.5000
Ga: 0.1820 0.3180 0.1191
Ga: 0.3010 0.6990 0.0000
Ga: 0.6820 0.8180 0.8809
Ge: 0.5568 0.1929 0.6248
Ge: 0.8071 0.4432 0.3752

## Properties
DOS at the Fermi energy: 0.788 states/eV per atom
Total DFT energy (no corrections): -33.26 eV per formula unit
Calculated density: 7.935 g/cm3
ΔE_f: -0.580 eV per atom


Record 2
Tb2GaGe | GGA-PBE | relaxed

Lattice parameters (Å, degrees): 4.7889 4.7889 3.9945 90.00 90.00 90.00
Sites, in units of the cell vectors:
Tb: 0.0000 0.5000 0.0000
Tb: 0.5000 0.0000 0.0000
Ga: 0.0000 0.0000 0.5000
Ge: 0.5000 0.5000 0.5000

## Properties
DOS at the Fermi energy: 0.483 states/eV per atom
Total DFT energy (no corrections): -19.37 eV per formula unit
Calculated density: 8.342 g/cm3
ΔE_f: -0.616 eV per atom


Record 3
Tb4GaGe | GGA-PBE | relaxed

Lattice parameters (Å, degrees): 10.7655 10.7655 6.2048 90.00 90.00 151.41
Sites, in units of the cell vectors:
Tb: 0.0594 0.9406 0.7500
Tb: 0.2038 0.7962 0.5041
Tb: 0.2038 0.7962 0.9959
Tb: 0.3808 0.6192 0.7500
Tb: 0.6192 0.3808 0.2500
Tb: 0.7962 0.2038 0.0041
Tb: 0.7962 0.2038 0.4959
Tb: 0.9406 0.0594 0.2500
Ga: 0.0767 0.9233 0.2500
Ga: 0.9233 0.0767 0.7500
Ge: 0.3393 0.6607 0.2500
Ge: 0.6607 0.3393 0.7500

## Properties
DOS at the Fermi energy: 1.024 states/eV per atom
Total DFT energy (no corrections): -27.91 eV per formula unit
Calculated density: 7.509 g/cm3
ΔE_f: -0.290 eV per atom


Record 4
Tb3Ga3Ge | GGA-PBE | relaxed

Lattice parameters (Å, degrees): 9.6195 9.6195 9.6195 155.34 154.41 35.84
Sites, in units of the cell vectors:
Tb: 0.0000 0.0000 0.0000
Tb: 0.1827 0.6827 0.5000
Tb: 0.3687 0.3687 0.0000
Ga: 0.5348 0.5348 0.0000
Ga: 0.7523 0.2523 0.5000
Ga: 0.8309 0.8309 0.0000
Ge: 0.6182 0.1182 0.5000

## Properties
DOS at the Fermi energy: 0.757 states/eV per atom
Total DFT energy (no corrections): -32.38 eV per formula unit
Calculated density: 7.861 g/cm3
ΔE_f: -0.685 eV per atom


Record 5
Tb4Ga3Ge | GGA-PBE | relaxed

Lattice parameters (Å, degrees): 4.0305 4.3741 10.8964 90.00 90.00 90.00
Sites, in units of the cell vectors:
Tb: 0.0000 0.0000 0.0000
Tb: 0.0000 0.5000 0.4988
Tb: 0.5000 0.0000 0.2778
Tb: 0.5000 0.5000 0.7790
Ga: 0.0000 0.0000 0.7176
Ga: 0.0000 0.5000 0.2159
Ga: 0.5000 0.0000 0.5624
Ge: 0.5000 0.5000 0.0600

## Properties
DOS at the Fermi energy: 0.852 states/eV per atom
Total DFT energy (no corrections): -37.90 eV per formula unit
Calculated density: 7.931 g/cm3
ΔE_f: -0.710 eV per atom


Record 6
TbGaGe2 | GGA-PBE | relaxed

Lattice parameters (Å, degrees): 4.3017 4.3017 4.3400 90.00 90.00 90.00
Sites, in units of the cell vectors:
Tb: 0.0000 0.0000 0.0000
Ga: 0.5000 0.5000 0.0000
Ge: 0.0000 0.5000 0.5000
Ge: 0.5000 0.0000 0.5000

## Properties
DOS at the Fermi energy: 0.261 states/eV per atom
Total DFT energy (no corrections): -18.75 eV per formula unit
Calculated density: 7.732 g/cm3
ΔE_f: -0.464 eV per atom


Record 7
Tb4Ga12Ge | GGA-PBE | relaxed

Lattice parameters (Å, degrees): 7.6069 7.6069 7.6069 109.47 109.47 109.47
Sites, in units of the cell vectors:
Tb: 0.0000 0.0000 0.5000
Tb: 0.0000 0.5000 0.0000
Tb: 0.5000 0.0000 0.0000
Tb: 0.5000 0.5000 0.5000
Ga: 0.0000 0.3076 0.3076
Ga: 0.0000 0.6924 0.6924
Ga: 0.2500 0.5000 0.7500
Ga: 0.2500 0.7500 0.5000
Ga: 0.3076 0.0000 0.3076
Ga: 0.3076 0.3076 0.0000
Ga: 0.5000 0.2500 0.7500
Ga: 0.5000 0.7500 0.2500
Ga: 0.6924 0.0000 0.6924
Ga: 0.6924 0.6924 0.0000
Ga: 0.7500 0.2500 0.5000
Ga: 0.7500 0.5000 0.2500
Ge: 0.0000 0.0000 0.0000

## Properties
DOS at the Fermi energy: 0.543 states/eV per atom
Total DFT energy (no corrections): -67.35 eV per formula unit
Calculated density: 7.572 g/cm3
ΔE_f: -0.464 eV per atom


Record 8
Tb8Ga2Ge | GGA-PBE | relaxed

Lattice parameters (Å, degrees): 9.6879 9.6879 6.6613 101.64 101.64 29.67
Sites, in units of the cell vectors:
Tb: 0.0269 0.0269 0.2712
Tb: 0.2105 0.2105 0.8189
Tb: 0.3428 0.3428 0.5206
Tb: 0.4094 0.4094 0.0441
Tb: 0.5906 0.5906 0.9559
Tb: 0.6572 0.6572 0.4794
Tb: 0.7895 0.7895 0.1811
Tb: 0.9731 0.9731 0.7288
Ga: 0.1878 0.1878 0.2581
Ga: 0.8122 0.8122 0.7419
Ge: 0.5000 0.5000 0.5000

## Properties
DOS at the Fermi energy: 0.915 states/eV per atom
Total DFT energy (no corrections): -51.57 eV per formula unit
Calculated density: 8.139 g/cm3
ΔE_f: -0.350 eV per atom


Record 9
Tb2GaGe | GGA-PBE | relaxed

Lattice parameters (Å, degrees): 5.8431 4.0160 8.4843 90.00 107.85 90.00
Sites, in units of the cell vectors:
Tb: 0.2063 0.2500 0.4280
Tb: 0.2884 0.7500 0.0684
Tb: 0.7116 0.2500 0.9316
Tb: 0.7937 0.7500 0.5720
Ga: 0.3692 0.7500 0.7098
Ga: 0.6308 0.2500 0.2902
Ge: 0.1338 0.2500 0.7906
Ge: 0.8662 0.7500 0.2094

## Properties
DOS at the Fermi energy: 0.866 states/eV per atom
Total DFT energy (no corrections): -20.07 eV per formula unit
Calculated density: 8.065 g/cm3
ΔE_f: -0.792 eV per atom


Record 10
TbGaGe2 | GGA-PBE | relaxed

Lattice parameters (Å, degrees): 3.8308 4.6032 10.0873 90.00 90.00 90.00
Sites, in units of the cell vectors:
Tb: 0.2500 0.2500 0.1371
Tb: 0.7500 0.7500 0.8629
Ga: 0.2500 0.7500 0.3414
Ga: 0.7500 0.2500 0.6586
Ge: 0.2500 0.2500 0.4631
Ge: 0.2500 0.2500 0.8452
Ge: 0.7500 0.7500 0.1548
Ge: 0.7500 0.7500 0.5369

## Properties
DOS at the Fermi energy: 0.300 states/eV per atom
Total DFT energy (no corrections): -18.26 eV per formula unit
Calculated density: 6.981 g/cm3
ΔE_f: -0.341 eV per atom


Record 11
Tb2GaGe | GGA-PBE | relaxed

Lattice parameters (Å, degrees): 8.2740 8.2740 8.2740 26.95 26.95 26.95
Sites, in units of the cell vectors:
Tb: 0.2455 0.2455 0.2455
Tb: 0.7545 0.7545 0.7545
Ga: 0.0000 0.0000 0.0000
Ge: 0.5000 0.5000 0.5000

## Properties
DOS at the Fermi energy: 0.678 states/eV per atom
Total DFT energy (no corrections): -18.97 eV per formula unit
Calculated density: 7.448 g/cm3
ΔE_f: -0.517 eV per atom


Record 12
Tb3Ga2Ge3 | GGA-PBE | relaxed

Lattice parameters (Å, degrees): 5.9182 5.9182 14.7795 90.00 90.00 138.66
Sites, in units of the cell vectors:
Tb: 0.0589 0.9411 0.6139
Tb: 0.0589 0.9411 0.8861
Tb: 0.3436 0.6564 0.7500
Tb: 0.6564 0.3436 0.2500
Tb: 0.9411 0.0589 0.1139
Tb: 0.9411 0.0589 0.3861
Ga: 0.2254 0.7746 0.1098
Ga: 0.2254 0.7746 0.3902
Ga: 0.7746 0.2254 0.6098
Ga: 0.7746 0.2254 0.8902
Ge: 0.3823 0.6177 0.5376
Ge: 0.3823 0.6177 0.9624
Ge: 0.3832 0.6168 0.2500
Ge: 0.6168 0.3832 0.7500
Ge: 0.6177 0.3823 0.0376
Ge: 0.6177 0.3823 0.4624

## Properties
DOS at the Fermi energy: 0.464 states/eV per atom
Total DFT energy (no corrections): -39.19 eV per formula unit
Calculated density: 8.102 g/cm3
ΔE_f: -0.674 eV per atom


Question: The lowest calculated density belongs to which entry?
Answer: number 10


Question: Number 9 is which compound?
Answer: Tb2GaGe


Question: ΔE_f of number 6 (TbGaGe2)?
Answer: -0.464 eV per atom


Question: What is the formula in the third record?
Answer: Tb4GaGe